VASP calculation (PBE) on a geometry-optimized Rb3Cu2AgI9 structure.

Properties
Magnetic moment (μB/f.u.): 0.00
ρ (Mg/m³): 4.89
Crystal system: trigonal
Formation energy from raw total energies (eV per atom): -0.614

Cell: 8.0479 8.0479 9.8855 Å, 90.00 90.00 120.00°
Fractional coordinates of all 15 atoms:
Rb  0.3333  0.6667  0.6662
Rb  0.0000  0.0000  0.0000
Rb  0.6667  0.3333  0.3338
Cu  0.3333  0.6667  0.1619
Cu  0.6667  0.3333  0.8381
Ag  0.0000  0.0000  0.5000
I  0.8293  0.1707  0.6742
I  0.8293  0.6587  0.6742
I  0.3413  0.1707  0.6742
I  0.6587  0.8293  0.3258
I  0.1707  0.3413  0.3258
I  0.1707  0.8293  0.3258
I  0.5000  0.0000  0.0000
I  0.0000  0.5000  0.0000
I  0.5000  0.5000  0.0000

=====

VASP calculation (PBE) on a geometry-optimized YLuHf2 structure.

Properties
Magnetic moment (μB/f.u.): 0.00
ρ (Mg/m³): 10.05
Formation enthalpy at 0 K (eV per atom): 0.18
Crystal system: tetragonal

Cell: 4.7569 4.6445 4.6445 Å, 90.00 90.00 90.00°
Fractional coordinates of all 4 atoms:
Y  0.5000  0.5000  0.5000
Lu  0.5000  0.0000  0.0000
Hf  0.0000  0.0000  0.5000
Hf  0.0000  0.5000  0.0000

=====

VASP calculation (PBE) on a geometry-optimized Li6Cu structure.

Properties
Magnetic moment (μB/f.u.): 0.00
ρ (Mg/m³): 1.19
Relative energy among the computed polymorphs (meV per atom): 667
Formation enthalpy at 0 K (eV per atom): 0.69
Crystal system: cubic

Cell: 5.7571 5.7571 5.7571 Å, 109.47 109.47 109.47°
Fractional coordinates of all 7 atoms:
Li  0.2500  0.7500  0.5000
Li  0.5000  0.7500  0.2500
Li  0.2500  0.5000  0.7500
Li  0.7500  0.2500  0.5000
Li  0.5000  0.2500  0.7500
Li  0.7500  0.5000  0.2500
Cu  0.0000  0.0000  0.0000

=====

VASP calculation (PBE) on a geometry-optimized Th2Ga3AgIr4 structure.

Properties
Magnetic moment (μB/f.u.): 0.00
ρ (Mg/m³): 13.39
Formation enthalpy at 0 K (eV per atom): -0.61
Crystal system: tetragonal

Cell: 4.1623 4.1623 11.0914 Å, 90.00 90.00 90.00°
Fractional coordinates of all 10 atoms:
Th  0.5000  0.0000  0.2424
Th  0.0000  0.5000  0.7576
Ga  0.0000  0.0000  0.5000
Ga  0.5000  0.0000  0.8783
Ga  0.0000  0.5000  0.1217
Ag  0.5000  0.5000  0.5000
Ir  0.5000  0.5000  0.0000
Ir  0.0000  0.0000  0.0000
Ir  0.5000  0.0000  0.6573
Ir  0.0000  0.5000  0.3427

=====

VASP calculation (PBE) on a geometry-optimized ErTh2ZrSc4 structure.

Properties
Magnetic moment (μB/f.u.): 0.00
ρ (Mg/m³): 6.99
Formation enthalpy at 0 K (eV per atom): 0.07
Crystal system: monoclinic

Cell: 3.3909 10.8793 5.9036 Å, 79.89 90.00 90.00°
Fractional coordinates of all 8 atoms:
Er  0.5000  0.5000  0.0000
Th  0.0000  0.0000  0.0000
Th  0.5000  0.0000  0.5000
Zr  0.0000  0.5000  0.5000
Sc  0.0000  0.7480  0.7404
Sc  0.0000  0.2520  0.2596
Sc  0.5000  0.7423  0.2630
Sc  0.5000  0.2577  0.7370

=====

VASP calculation (PBE) on a geometry-optimized Mg2PPb structure.

Properties
Magnetic moment (μB/f.u.): 0.00
ρ (Mg/m³): 5.00
Formation enthalpy at 0 K (eV per atom): -0.14
Crystal system: tetragonal

Cell: 7.7781 7.7781 6.3381 Å, 52.15 52.15 90.00°
Fractional coordinates of all 8 atoms:
Pb  0.0000  0.0000  0.0000
Pb  0.7500  0.2500  0.5000
P  0.5000  0.5000  0.0000
P  0.2500  0.7500  0.5000
Mg  0.5558  0.1250  0.2500
Mg  0.1942  0.6250  0.2500
Mg  0.3750  0.4442  0.7500
Mg  0.8750  0.8058  0.7500

=====

VASP calculation (PBE) on a geometry-optimized Y2Zn2Sn structure.

Properties
Magnetic moment (μB/f.u.): 0.00
ρ (Mg/m³): 6.20
Formation enthalpy at 0 K (eV per atom): -0.53
Crystal system: tetragonal

Cell: 7.1487 7.1487 4.4806 Å, 90.00 90.00 90.00°
Fractional coordinates of all 10 atoms:
Y  0.1722  0.6722  0.5000
Y  0.6722  0.8278  0.5000
Y  0.8278  0.3278  0.5000
Y  0.3278  0.1722  0.5000
Zn  0.3770  0.8770  0.0000
Zn  0.8770  0.6230  0.0000
Zn  0.6230  0.1230  0.0000
Zn  0.1230  0.3770  0.0000
Sn  0.0000  0.0000  0.0000
Sn  0.5000  0.5000  0.0000

=====

VASP calculation (PBE) on a geometry-optimized BaDy2UO8 structure.

Properties
Magnetic moment (μB/f.u.): 0.00
ρ (Mg/m³): 8.04
Crystal system: monoclinic
Formation energy from raw total energies (eV per atom): -3.007

Cell: 3.9019 5.3854 8.1431 Å, 90.00 90.00 89.84°
Fractional coordinates of all 12 atoms:
Ba  0.0000  0.0000  0.5000
Dy  0.5000  0.5000  0.7858
Dy  0.5000  0.5000  0.2142
U  0.0000  0.0000  0.0000
O  0.0000  0.7552  0.2084
O  0.4998  0.7663  0.0000
O  0.0000  0.2449  0.2084
O  0.0000  0.2448  0.7916
O  0.5002  0.2337  0.0000
O  0.0000  0.7551  0.7916
O  0.5070  0.6393  0.5000
O  0.4930  0.3607  0.5000